No. 1
# GaCuPb (PBE, relaxed)
data_GaCuPb
_cell_length_a 5.059
_cell_length_b 4.234
_cell_length_c 7.372
_cell_angle_alpha 125.07
_cell_angle_beta 101.91
_cell_angle_gamma 90.00
_space_group_name_H-M_alt 'P 1'
_space_group_IT_number 1
_space_group_name_Hall 'P 1'
loop_
_atom_site_label
_atom_site_type_symbol
_atom_site_fract_x
_atom_site_fract_y
_atom_site_fract_z
_atom_site_occupancy
Cu1 Cu 0.186 0.209 0.015 1
Cu2 Cu 0.387 0.503 0.810 1
Ga1 Ga 0.653 0.142 0.949 1
Ga2 Ga 0.920 0.570 0.876 1
Pb1 Pb 0.509 0.031 0.337 1
Pb2 Pb 0.065 0.682 0.488 1
# M_tot in μB/f.u.: 0.00
# SG: Pm
# DFT total energy in eV/cell: -21.461

---

No. 2
# GaCuPb3 (PBE, relaxed)
data_GaCuPb3
_cell_length_a 5.285
_cell_length_b 5.285
_cell_length_c 5.285
_cell_angle_alpha 90.00
_cell_angle_beta 90.00
_cell_angle_gamma 90.00
_space_group_name_H-M_alt 'P 1'
_space_group_IT_number 1
_space_group_name_Hall 'P 1'
loop_
_atom_site_label
_atom_site_type_symbol
_atom_site_fract_x
_atom_site_fract_y
_atom_site_fract_z
_atom_site_occupancy
Pb1 Pb 0.000 0.500 0.000 1
Pb2 Pb 0.500 0.000 0.000 1
Pb3 Pb 0.000 0.000 0.500 1
Ga1 Ga 0.500 0.500 0.500 1
Cu1 Cu 0.000 0.000 0.000 1
# M_tot in μB/f.u.: 0.00
# Energy relative to the lowest polymorph listed for this composition in eV per atom: 0.0000
# SG: Pm-3m
# DFT total energy in eV/cell: -16.635

---

No. 3
# GaCuPb (PBE, relaxed)
data_GaCuPb
_cell_length_a 5.043
_cell_length_b 5.043
_cell_length_c 5.791
_cell_angle_alpha 90.00
_cell_angle_beta 90.00
_cell_angle_gamma 120.00
_space_group_name_H-M_alt 'P 1'
_space_group_IT_number 1
_space_group_name_Hall 'P 1'
loop_
_atom_site_label
_atom_site_type_symbol
_atom_site_fract_x
_atom_site_fract_y
_atom_site_fract_z
_atom_site_occupancy
Pb1 Pb 0.667 0.333 0.250 1
Pb2 Pb 0.333 0.667 0.750 1
Ga1 Ga 0.333 0.667 0.250 1
Ga2 Ga 0.667 0.333 0.750 1
Cu1 Cu 0.000 0.000 0.000 1
Cu2 Cu 0.000 0.000 0.500 1
# M_tot in μB/f.u.: 0.00
# SG: P6_3/mmc
# DFT total energy in eV/cell: -19.396

---

No. 4
# GaCuPb3 (PBE, relaxed)
data_GaCuPb3
_cell_length_a 5.497
_cell_length_b 5.497
_cell_length_c 5.497
_cell_angle_alpha 90.00
_cell_angle_beta 90.00
_cell_angle_gamma 90.00
_space_group_name_H-M_alt 'P 1'
_space_group_IT_number 1
_space_group_name_Hall 'P 1'
loop_
_atom_site_label
_atom_site_type_symbol
_atom_site_fract_x
_atom_site_fract_y
_atom_site_fract_z
_atom_site_occupancy
Pb1 Pb 0.500 0.000 0.000 1
Pb2 Pb 0.000 0.500 0.000 1
Pb3 Pb 0.000 0.000 0.500 1
Ga1 Ga 0.000 0.000 0.000 1
Cu1 Cu 0.500 0.500 0.500 1
# M_tot in μB/f.u.: 0.00
# Energy relative to the lowest polymorph listed for this composition in eV per atom: 0.3574
# SG: Pm-3m
# DFT total energy in eV/cell: -14.848

---

No. 5
# Ga2CuPb (PBE, relaxed)
data_Ga2CuPb
_cell_length_a 4.570
_cell_length_b 4.570
_cell_length_c 9.025
_cell_angle_alpha 75.33
_cell_angle_beta 75.33
_cell_angle_gamma 90.00
_space_group_name_H-M_alt 'P 1'
_space_group_IT_number 1
_space_group_name_Hall 'P 1'
loop_
_atom_site_label
_atom_site_type_symbol
_atom_site_fract_x
_atom_site_fract_y
_atom_site_fract_z
_atom_site_occupancy
Cu1 Cu 0.250 0.750 0.500 1
Cu2 Cu 0.500 0.500 0.000 1
Ga1 Ga 0.375 0.487 0.750 1
Ga2 Ga 0.875 0.763 0.750 1
Ga3 Ga 0.237 0.625 0.250 1
Ga4 Ga 0.513 0.125 0.250 1
Pb1 Pb 0.000 0.000 0.000 1
Pb2 Pb 0.750 0.250 0.500 1
# M_tot in μB/f.u.: 0.00
# SG: I-42d
# DFT total energy in eV/cell: -26.643

---

No. 6
# GaCuPb (PBE, relaxed)
data_GaCuPb
_cell_length_a 4.839
_cell_length_b 4.089
_cell_length_c 6.731
_cell_angle_alpha 90.00
_cell_angle_beta 76.41
_cell_angle_gamma 89.99
_space_group_name_H-M_alt 'P 1'
_space_group_IT_number 1
_space_group_name_Hall 'P 1'
loop_
_atom_site_label
_atom_site_type_symbol
_atom_site_fract_x
_atom_site_fract_y
_atom_site_fract_z
_atom_site_occupancy
Pb1 Pb 0.248 0.693 0.283 1
Pb2 Pb 0.657 0.193 0.542 1
Ga1 Ga 0.781 0.193 0.034 1
Ga2 Ga 0.127 0.693 0.791 1
Cu1 Cu 0.297 0.194 0.966 1
Cu2 Cu 0.611 0.694 0.859 1
# M_tot in μB/f.u.: 0.00
# SG: P1
# DFT total energy in eV/cell: -21.416

---

No. 7
# GaCuPb (PBE, relaxed)
data_GaCuPb
_cell_length_a 6.102
_cell_length_b 5.341
_cell_length_c 4.199
_cell_angle_alpha 90.03
_cell_angle_beta 110.18
_cell_angle_gamma 99.66
_space_group_name_H-M_alt 'P 1'
_space_group_IT_number 1
_space_group_name_Hall 'P 1'
loop_
_atom_site_label
_atom_site_type_symbol
_atom_site_fract_x
_atom_site_fract_y
_atom_site_fract_z
_atom_site_occupancy
Ga1 Ga 0.454 0.652 0.246 1
Ga2 Ga 0.453 0.152 0.246 1
Cu1 Cu 0.391 0.895 0.715 1
Cu2 Cu 0.516 0.409 0.777 1
Pb1 Pb 0.911 0.885 0.974 1
Pb2 Pb 0.996 0.421 0.517 1
# M_tot in μB/f.u.: 0.00
# SG: Cm
# DFT total energy in eV/cell: -21.283

---

No. 8
# GaCu2Pb (PBE, relaxed)
data_GaCu2Pb
_cell_length_a 7.219
_cell_length_b 7.219
_cell_length_c 5.912
_cell_angle_alpha 52.37
_cell_angle_beta 52.37
_cell_angle_gamma 90.00
_space_group_name_H-M_alt 'P 1'
_space_group_IT_number 1
_space_group_name_Hall 'P 1'
loop_
_atom_site_label
_atom_site_type_symbol
_atom_site_fract_x
_atom_site_fract_y
_atom_site_fract_z
_atom_site_occupancy
Ga1 Ga 0.250 0.750 0.500 1
Ga2 Ga 0.500 0.500 0.000 1
Cu1 Cu 0.585 0.125 0.250 1
Cu2 Cu 0.165 0.625 0.250 1
Cu3 Cu 0.375 0.415 0.750 1
Cu4 Cu 0.875 0.835 0.750 1
Pb1 Pb 0.750 0.250 0.500 1
Pb2 Pb 0.000 0.000 0.000 1
# M_tot in μB/f.u.: 0.00
# Energy relative to the lowest polymorph listed for this composition in eV per atom: 0.0516
# SG: I-42d
# DFT total energy in eV/cell: -27.389

---

No. 9
# GaCuPb (PBE, relaxed)
data_GaCuPb
_cell_length_a 4.061
_cell_length_b 4.061
_cell_length_c 11.386
_cell_angle_alpha 90.00
_cell_angle_beta 90.00
_cell_angle_gamma 120.00
_space_group_name_H-M_alt 'P 1'
_space_group_IT_number 1
_space_group_name_Hall 'P 1'
loop_
_atom_site_label
_atom_site_type_symbol
_atom_site_fract_x
_atom_site_fract_y
_atom_site_fract_z
_atom_site_occupancy
Pb1 Pb 0.000 0.000 0.500 1
Pb2 Pb 0.000 0.000 0.000 1
Ga1 Ga 0.000 0.000 0.250 1
Ga2 Ga 0.000 0.000 0.750 1
Cu1 Cu 0.667 0.333 0.750 1
Cu2 Cu 0.333 0.667 0.250 1
# M_tot in μB/f.u.: 0.00
# SG: P6_3/mmc
# DFT total energy in eV/cell: -18.727

---

No. 10
# GaCuPb (PBE, relaxed)
data_GaCuPb
_cell_length_a 3.965
_cell_length_b 3.965
_cell_length_c 7.634
_cell_angle_alpha 90.00
_cell_angle_beta 90.00
_cell_angle_gamma 90.00
_space_group_name_H-M_alt 'P 1'
_space_group_IT_number 1
_space_group_name_Hall 'P 1'
loop_
_atom_site_label
_atom_site_type_symbol
_atom_site_fract_x
_atom_site_fract_y
_atom_site_fract_z
_atom_site_occupancy
Cu1 Cu 0.500 0.000 0.281 1
Cu2 Cu 0.000 0.500 0.719 1
Pb1 Pb 0.500 0.000 0.868 1
Pb2 Pb 0.000 0.500 0.132 1
Ga1 Ga 0.500 0.500 0.500 1
Ga2 Ga 0.000 0.000 0.500 1
# M_tot in μB/f.u.: 0.00
# SG: P4/nmm
# DFT total energy in eV/cell: -21.298

---

No. 11
# GaCu2Pb (PBE, relaxed)
data_GaCu2Pb
_cell_length_a 4.672
_cell_length_b 4.672
_cell_length_c 4.672
_cell_angle_alpha 60.00
_cell_angle_beta 60.00
_cell_angle_gamma 60.00
_space_group_name_H-M_alt 'P 1'
_space_group_IT_number 1
_space_group_name_Hall 'P 1'
loop_
_atom_site_label
_atom_site_type_symbol
_atom_site_fract_x
_atom_site_fract_y
_atom_site_fract_z
_atom_site_occupancy
Ga1 Ga 0.000 0.000 0.000 1
Cu1 Cu 0.750 0.750 0.750 1
Cu2 Cu 0.250 0.250 0.250 1
Pb1 Pb 0.500 0.500 0.500 1
# M_tot in μB/f.u.: 0.00
# Energy relative to the lowest polymorph listed for this composition in eV per atom: 0.0000
# SG: Fm-3m
# DFT total energy in eV/cell: -13.901

---

No. 12
# GaCuPb (PBE, relaxed)
data_GaCuPb
_cell_length_a 5.777
_cell_length_b 6.922
_cell_length_c 6.825
_cell_angle_alpha 90.00
_cell_angle_beta 90.00
_cell_angle_gamma 114.66
_space_group_name_H-M_alt 'P 1'
_space_group_IT_number 1
_space_group_name_Hall 'P 1'
loop_
_atom_site_label
_atom_site_type_symbol
_atom_site_fract_x
_atom_site_fract_y
_atom_site_fract_z
_atom_site_occupancy
Ga1 Ga 0.705 0.910 0.750 1
Ga2 Ga 0.295 0.090 0.250 1
Ga3 Ga 0.795 0.090 0.250 1
Ga4 Ga 0.205 0.910 0.750 1
Pb1 Pb 0.815 0.630 0.424 1
Pb2 Pb 0.185 0.370 0.576 1
Pb3 Pb 0.685 0.370 0.924 1
Pb4 Pb 0.315 0.630 0.076 1
Cu1 Cu 0.403 0.807 0.455 1
Cu2 Cu 0.903 0.807 0.045 1
Cu3 Cu 0.097 0.193 0.955 1
Cu4 Cu 0.597 0.193 0.545 1
# M_tot in μB/f.u.: 0.00
# SG: Cmce
# DFT total energy in eV/cell: -42.618

---

Going through the records in order, we get energy relative to the elements values of 3 31 36 66 13 4 6 30 47 6 25 6 kJ per mole of atoms.